[1]
## CaSc2 (PBE)

Data for a relaxed structure of CaSc2.

Cell and atoms, written as POSCAR:
```
CaSc2
1.0
1.7292 6.6560 0.0034
-1.7292 6.6560 0.0034
0.0000 2.0134 7.5949
Sc Ca
4 2
direct
0.6610 0.6610 0.4670
0.3390 0.3390 0.5330
0.7037 0.7037 0.8616
0.2963 0.2963 0.1384
0.0262 0.0262 0.2125
0.9738 0.9738 0.7875
```

SG   C2/m
Relative energy among the computed polymorphs   0.17 eV per formula unit

---

[2]
## Ca3Sc (PBE)

Data for a relaxed structure of Ca3Sc.

Cell and atoms, written as POSCAR:
```
Ca3Sc
1.0
-4.2112 -2.8788 1.3271
3.1304 -3.4287 2.4956
-0.4997 2.7820 4.4490
Ca Sc
3 1
direct
0.5000 0.5000 0.0000
0.5000 0.0000 0.5000
0.0000 0.5000 0.5000
0.0000 0.0000 0.0000
```

SG   Pm-3m
Relative energy among the computed polymorphs   0.23 eV per formula unit

---

[3]
## CaSc (PBE)

Data for a relaxed structure of CaSc.

Cell and atoms, written as POSCAR:
```
CaSc
1.0
-0.2959 3.3020 1.8375
0.0312 -2.8296 5.0899
16.8398 1.1964 0.5618
Ca Sc
6 6
direct
0.5000 0.9837 0.5000
0.0000 0.0163 0.0000
0.5000 0.0084 0.1667
0.5000 0.0084 0.8333
0.0000 0.9916 0.3333
0.0000 0.9916 0.6667
0.0000 0.4853 0.5000
0.5000 0.4925 0.6667
0.5000 0.5147 0.0000
0.5000 0.4925 0.3333
0.0000 0.5075 0.8333
0.0000 0.5075 0.1667
```

SG   Pmmn
Relative energy among the computed polymorphs   0.29 eV per formula unit

---

[4]
## Ca5Sc (PBE)

Data for a relaxed structure of Ca5Sc.

Cell and atoms, written as POSCAR:
```
Ca5Sc
1.0
-0.1591 -3.3446 -2.1163
4.9217 -2.1427 3.0162
-8.0317 -2.7142 4.8932
Sc Ca
1 5
direct
0.0000 0.0000 0.0000
0.5000 0.5000 0.0000
0.5000 0.1499 0.2998
0.0000 0.3265 0.6530
0.0000 0.6735 0.3470
0.5000 0.8501 0.7002
```

SG   Cmmm
Relative energy among the computed polymorphs   0.06 eV per formula unit

---

[5]
## CaSc2 (PBE)

Data for a relaxed structure of CaSc2.

Cell and atoms, written as POSCAR:
```
CaSc2
1.0
-1.6389 1.6390 16.4612
1.6389 -1.6388 16.4612
1.6389 1.6388 -16.4612
Sc Ca
4 2
direct
0.9600 0.2101 0.7499
0.2101 0.9601 0.2500
0.7899 0.0399 0.7500
0.0400 0.7899 0.2501
0.3751 0.6250 0.7501
0.6249 0.3750 0.2499
```

SG   I4_1/amd
Relative energy among the computed polymorphs   0.80 eV per formula unit

---

[6]
## Ca3Sc (PBE)

Data for a relaxed structure of Ca3Sc.

Cell and atoms, written as POSCAR:
```
Ca3Sc
1.0
3.7404 0.0000 0.0000
0.0000 3.7404 0.0000
0.0000 0.0000 10.4562
Sc Ca
1 3
direct
0.5000 0.5000 0.7500
0.0000 0.0000 0.9746
0.5000 0.5000 0.2500
0.0000 0.0000 0.5254
```

SG   P4/mmm
Relative energy among the computed polymorphs   0.00 eV per formula unit